[1]
# SrNdAlIn PBE relaxed
data_SrNdAlIn
_cell_length_a 5.5151
_cell_length_b 5.5151
_cell_length_c 5.5151
_cell_angle_alpha 60.00
_cell_angle_beta 60.00
_cell_angle_gamma 60.00
_symmetry_space_group_name_H-M 'P 1'
_symmetry_Int_Tables_number 1
_symmetry_space_group_name_Hall 'P 1'
loop_
_atom_site_label
_atom_site_fract_x
_atom_site_fract_y
_atom_site_fract_z
Sr1 0.7500 0.7500 0.7500
Nd1 0.2500 0.2500 0.2500
Al1 0.0000 0.0000 0.0000
In1 0.5000 0.5000 0.5000
# * space-group type: F-43m (216)
# * formation energy: -281 meV/atom
# * D(E_F): 3.298 states/eV per cell
# * crystal system: cubic


[2]
# Cs4HgH PBE relaxed
data_Cs4HgH
_cell_length_a 6.1842
_cell_length_b 6.1862
_cell_length_c 8.8399
_cell_angle_alpha 89.87
_cell_angle_beta 89.90
_cell_angle_gamma 90.00
_symmetry_space_group_name_H-M 'P 1'
_symmetry_Int_Tables_number 1
_symmetry_space_group_name_Hall 'P 1'
loop_
_atom_site_label
_atom_site_fract_x
_atom_site_fract_y
_atom_site_fract_z
Cs1 0.5008 0.9969 0.2669
Cs2 0.5015 0.9978 0.7294
Cs3 0.0015 0.4981 0.7294
Cs4 0.0010 0.4972 0.2669
Hg1 0.5014 0.4971 0.9982
H1 0.0017 0.9966 0.4980
# * energy relative to the lowest polymorph listed for this composition: 60.1 meV per atom
# * space-group type: C2/m (12)
# * D(E_F): 5.937 states/eV per cell
# * crystal system: monoclinic